(1)
Compound: YMn2TeF
Source: Alexandria
Functional: PBE+U
Structure: optimized geometry

Cell: 5.474 5.474 4.413 Å, 90.00 90.00 90.00°
Element x y z (fractional)
Y  0.000  0.000  0.000
Mn  0.000  0.500  0.500
Mn  0.500  0.000  0.500
Te  0.500  0.500  0.500
F  0.500  0.500  0.000

space group	P4/mmm, No. 123
total magnetization	8.3	μB/cell
mass density	4.34	g/cm³
total energy	-25.8	eV/f.u.


(2)
Compound: ThMn2F8
Source: Alexandria
Functional: PBE+U
Structure: optimized geometry

Cell: 7.029 7.029 4.216 Å, 90.00 90.00 120.00°
Element x y z (fractional)
Th  0.000  0.000  0.000
Mn  0.333  0.667  0.281
Mn  0.667  0.333  0.719
F  0.160  0.320  0.265
F  0.160  0.840  0.265
F  0.320  0.160  0.735
F  0.333  0.667  0.778
F  0.667  0.333  0.222
F  0.680  0.840  0.265
F  0.840  0.160  0.735
F  0.840  0.680  0.735

space group	P-3m1, No. 164
total magnetization	10.0	μB/cell
mass density	4.55	g/cm³
total energy	-72.7	eV/f.u.


(3)
Compound: TiMn2F
Source: Alexandria
Functional: PBE+U
Structure: optimized geometry

Cell: 4.645 4.645 4.645 Å, 60.00 60.00 60.00°
Element x y z (fractional)
Ti  0.000  0.000  0.000
Mn  0.250  0.250  0.250
Mn  0.750  0.750  0.750
F  0.500  0.500  0.500

space group	Fm-3m, No. 225
total magnetization	7.0	μB/cell
mass density	4.14	g/cm³
total energy	-23.6	eV/f.u.


(4)
Compound: Ti2MnF
Source: Alexandria
Functional: PBE+U
Structure: optimized geometry

Cell: 5.290 5.290 5.290 Å, 109.92 109.92 108.58°
Element x y z (fractional)
Ti  0.067  0.625  0.942
Ti  0.375  0.317  0.442
Ti  0.683  0.125  0.058
Ti  0.875  0.933  0.558
Mn  0.250  0.750  0.500
Mn  0.500  0.500  0.000
F  0.000  0.000  0.000
F  0.750  0.250  0.500

space group	I-42d, No. 122
total magnetization	0.3	μB/cell
mass density	4.94	g/cm³
total energy	-24.5	eV/f.u.


(5)
Compound: TiMn2F
Source: Alexandria
Functional: PBE+U
Structure: optimized geometry

Cell: 5.714 5.714 5.714 Å, 101.63 101.63 126.65°
Element x y z (fractional)
Ti  0.000  0.000  0.000
Ti  0.750  0.250  0.500
Mn  0.197  0.625  0.072
Mn  0.375  0.447  0.572
Mn  0.553  0.125  0.928
Mn  0.875  0.803  0.428
F  0.250  0.750  0.500
F  0.500  0.500  0.000

space group	I-42d, No. 122
total magnetization	14.0	μB/cell
mass density	4.39	g/cm³
total energy	-25.6	eV/f.u.


(6)
Compound: TiMn2F6
Source: Alexandria
Functional: PBE+U
Structure: optimized geometry

Cell: 4.941 4.941 10.082 Å, 90.00 90.00 90.00°
Element x y z (fractional)
Ti  0.000  0.000  0.000
Ti  0.500  0.500  0.500
Mn  0.000  0.000  0.333
Mn  0.000  0.000  0.667
Mn  0.500  0.500  0.167
Mn  0.500  0.500  0.833
F  0.193  0.193  0.166
F  0.193  0.193  0.834
F  0.201  0.201  0.500
F  0.299  0.701  0.000
F  0.307  0.693  0.334
F  0.307  0.693  0.666
F  0.693  0.307  0.334
F  0.693  0.307  0.666
F  0.701  0.299  0.000
F  0.799  0.799  0.500
F  0.807  0.807  0.166
F  0.807  0.807  0.834

space group	P4_2/mnm, No. 136
total magnetization	20.0	μB/cell
mass density	3.67	g/cm³
total energy	-57.9	eV/f.u.